Entry from the Alexandria database: a relaxed structure of MnTlHSe2 (PBE).

Structure (POSCAR):
```
MnTlHSe2
1.0
5.5324 0.0000 0.0000
0.0000 7.2642 -0.3946
0.0000 -2.4981 5.9031
Se H Mn Tl
4 2 2 2
Direct
0.2265 0.8045 0.4025
0.7735 0.8045 0.9025
0.2265 0.1955 0.0975
0.7735 0.1955 0.5975
0.0000 0.0000 0.5000
0.0000 0.0000 0.0000
0.4999 0.0000 0.7500
0.5001 0.0000 0.2500
0.2458 0.5000 0.7500
0.7542 0.5000 0.2500
```

## Properties
SG: No. 13
Calculated total energy, eV/cell: -46.058
Total magnetic moment, μB per cell: 10.01

Entry from the Alexandria database: a relaxed structure of HoThPdAu (PBE).

Structure (POSCAR):
```
HoThPdAu
1.0
-2.9347 -2.2851 -0.7853
2.8881 -3.3741 -0.9746
1.3296 -0.5290 5.7713
Th Ho Pd Au
1 1 1 1
Direct
0.8642 0.5000 0.7284
0.1399 0.0000 0.2798
0.4076 0.0000 0.8152
0.5883 0.5000 0.1766
```

## Properties
Energy above the most stable polymorph in this dataset, meV/atom: 0
SG: No. 38
Calculated total energy, eV/cell: -23.748
Total magnetic moment, μB per cell: 0.00

Entry from the Alexandria database: a relaxed structure of Al3VPt (PBE).

Structure (POSCAR):
```
Al3VPt
1.0
-0.0872 0.5719 -4.6098
-4.4134 -1.4482 -0.0961
-1.4488 4.3772 0.5704
Al Pt V
3 1 1
Direct
0.0000 0.0000 0.5000
0.5000 0.0000 0.0000
0.0000 0.5000 0.0000
0.5000 0.5000 0.5000
0.0000 0.0000 0.0000
```

## Properties
SG: No. 221
Calculated total energy, eV/cell: -21.929
Total magnetic moment, μB per cell: 1.04